Compound: TaTiMoIr
Source: Alexandria via LeMat-Bulk
Functional: PBE-GGA
Structure: optimized geometry

Cell lengths 4.481, 4.481, 4.481 Å; angles 60.00, 60.00, 60.00 degrees
Atoms (fractional coordinates):
1 Ta 0.000 0.000 0.000
2 Ti 0.500 0.500 0.500
3 Mo 0.750 0.750 0.750
4 Ir 0.250 0.250 0.250

Results
Its formation energy is -55.65 kJ per mole of atoms. The total energy comes out at -10.44 eV/atom.

---

Compound: YSbBr
Source: Alexandria via LeMat-Bulk
Functional: PBE-GGA
Structure: optimized geometry

Cell lengths 7.996, 7.970, 3.475 Å; angles 77.85, 77.00, 25.14 degrees
Atoms (fractional coordinates):
1 Y 0.000 0.000 0.000
2 Sb 0.644 0.644 0.356
3 Br 0.384 0.384 0.616

Results
The total energy comes out at -5.06 eV/atom. The uncorrected formation energy comes out at -972 meV/atom.

---

Compound: AlPPt2
Source: Alexandria via LeMat-Bulk
Functional: PBE-GGA
Structure: optimized geometry

Cell lengths 5.403, 5.403, 4.119 Å; angles 91.56, 91.56, 31.30 degrees
Atoms (fractional coordinates):
1 Al 0.000 0.000 0.000
2 P 0.239 0.239 0.714
3 Pt 0.442 0.442 0.498
4 Pt 0.700 0.700 0.208

Results
Its formation energy is -45.18 kJ per mole of atoms. The total energy comes out at -5.78 eV/atom.

---

Compound: Be2SiRu
Source: Alexandria via LeMat-Bulk
Functional: PBE-GGA
Structure: optimized geometry

Cell lengths 3.950, 3.950, 3.950 Å; angles 60.00, 60.00, 60.00 degrees
Atoms (fractional coordinates):
1 Be 0.000 0.000 0.000
2 Be 0.250 0.250 0.250
3 Si 0.750 0.750 0.750
4 Ru 0.500 0.500 0.500

Results
The total energy comes out at -5.66 eV/atom. The uncorrected formation energy comes out at -126 meV/atom.